(1)
Ce4RuRh (PBE, relaxed); polymorph energy (0 for the lowest one) = 0.0 meV per atom; formation energy from the elements = -0.375 eV per atom; crystal system = monoclinic
1.0
4.3124 -6.0593 0.0000
4.3124 6.0593 0.0000
-2.8218 0.0000 5.3031
Ce Ru Rh
8 2 2
direct
0.0651 0.6938 0.9064
0.2328 0.4060 0.6926
0.3062 0.9349 0.5936
0.4060 0.2328 0.1926
0.5940 0.7672 0.8074
0.6938 0.0651 0.4064
0.7672 0.5940 0.3074
0.9349 0.3062 0.0936
0.0010 0.9990 0.7500
0.9990 0.0010 0.2500
0.3765 0.6235 0.2500
0.6235 0.3765 0.7500



(2)
K2NpPbSe4 (PBE, relaxed); uncorrected formation energy = -1.08 eV/atom; crystal system = monoclinic
1.0
7.6186 0.0000 0.0000
0.0000 4.3372 0.0000
-2.4423 0.0000 7.5944
K Np Pb Se
2 1 1 4
direct
0.0000 0.0000 0.0000
0.5000 0.5000 0.0000
0.0000 0.5000 0.5000
0.5000 0.0000 0.5000
0.2160 0.0000 0.7039
0.2369 0.5000 0.2903
0.7631 0.5000 0.7097
0.7840 0.0000 0.2961



(3)
ZnOs2Rh (PBE, relaxed); formation energy from the elements = 0.279 eV per atom; crystal system = tetragonal
1.0
2.7078 0.0000 0.0000
0.0000 2.7078 0.0000
0.0000 0.0000 7.7783
Zn Os Rh
1 2 1
direct
0.0000 0.0000 0.0000
0.5000 0.5000 0.2537
0.5000 0.5000 0.7463
0.0000 0.0000 0.5000



(4)
BaLi2SiPd (PBE, relaxed); uncorrected formation energy = -0.33 eV/atom; polymorph energy (0 for the lowest one) = 19.4 meV per atom; crystal system = tetragonal
1.0
4.9053 0.0000 0.0000
0.0000 4.9053 0.0000
0.0000 0.0000 4.8174
Ba Li Si Pd
1 2 1 1
direct
0.0000 0.0000 0.0000
0.0000 0.5000 0.5000
0.5000 0.0000 0.5000
0.5000 0.5000 0.5000
0.5000 0.5000 0.0000



(5)
BaLaCo3 (PBE, relaxed); polymorph energy (0 for the lowest one) = 424.6 meV per atom; formation energy from the elements = 1.458 eV per atom; crystal system = cubic
1.0
4.8485 0.0000 0.0000
0.0000 4.8485 0.0000
0.0000 0.0000 4.8485
Ba La Co
1 1 3
direct
0.0000 0.0000 0.0000
0.5000 0.5000 0.5000
0.0000 0.0000 0.5000
0.0000 0.5000 0.0000
0.5000 0.0000 0.0000



(6)
Cs3SiP (PBE, relaxed); uncorrected formation energy = -0.08 eV/atom; crystal system = orthorhombic
1.0
-10.0701 4.1771 3.5504
10.0701 -4.1771 3.5504
10.0701 4.1771 -3.5504
Cs Si P
6 2 2
direct
0.1219 0.1102 0.2321
0.1219 0.3898 0.5118
0.2156 0.7266 0.9890
0.7376 0.2266 0.0110
0.8781 0.6102 0.4882
0.8781 0.8898 0.7679
0.5266 0.4026 0.6239
0.7787 0.9026 0.3761
0.1838 0.0747 0.6092
0.4655 0.5747 0.3908



(7)
CeHo2FeN4 (PBE, relaxed); uncorrected formation energy = -1.18 eV/atom; crystal system = orthorhombic
1.0
1.6805 -5.6484 0.0000
1.6805 5.6484 0.0000
0.0000 0.0000 11.4291
Ce Ho Fe N
2 4 2 8
direct
0.1049 0.8951 0.7500
0.8951 0.1049 0.2500
0.3685 0.6315 0.5478
0.3685 0.6315 0.9522
0.6315 0.3685 0.0478
0.6315 0.3685 0.4522
0.1569 0.8431 0.2500
0.8431 0.1569 0.7500
0.0000 0.0000 0.0000
0.0000 0.0000 0.5000
0.2711 0.7289 0.1317
0.2711 0.7289 0.3683
0.4312 0.5688 0.7500
0.5688 0.4312 0.2500
0.7289 0.2711 0.6317
0.7289 0.2711 0.8683



(8)
KSeCl2 (PBE, relaxed); uncorrected formation energy = -0.24 eV/atom; polymorph energy (0 for the lowest one) = 612.6 meV per atom; crystal system = trigonal
1.0
4.8048 0.0000 0.0000
-2.4024 4.1611 0.0000
0.0000 0.0000 26.3563
K Se Cl
3 3 6
direct
0.0000 0.0000 0.0000
0.3333 0.6667 0.6667
0.6667 0.3333 0.3333
0.0000 0.0000 0.5000
0.3333 0.6667 0.1667
0.6667 0.3333 0.8333
0.0000 0.0000 0.1073
0.0000 0.0000 0.8927
0.3333 0.6667 0.5594
0.3333 0.6667 0.7739
0.6667 0.3333 0.2261
0.6667 0.3333 0.4406



(9)
CaNdHoMg (PBE, relaxed); polymorph energy (0 for the lowest one) = 0.0 meV per atom; formation energy from the elements = -0.015 eV per atom; crystal system = tetragonal
1.0
3.6422 0.0000 0.0000
0.0000 3.6422 0.0000
0.0000 0.0000 9.7516
Ca Nd Ho Mg
1 1 1 1
direct
0.0000 0.0000 0.0000
0.5000 0.5000 0.7027
0.0000 0.0000 0.4536
0.5000 0.5000 0.2374



(10)
Sr2LiY (PBE, relaxed); polymorph energy (0 for the lowest one) = 129.7 meV per atom; formation energy from the elements = 0.267 eV per atom; crystal system = cubic
1.0
8.6446 0.0000 0.0000
0.0000 8.6446 0.0000
0.0000 0.0000 8.6446
Sr Li Y
8 4 4
direct
0.2500 0.2500 0.2500
0.2500 0.2500 0.7500
0.2500 0.7500 0.2500
0.2500 0.7500 0.7500
0.7500 0.2500 0.2500
0.7500 0.2500 0.7500
0.7500 0.7500 0.2500
0.7500 0.7500 0.7500
0.0000 0.0000 0.0000
0.0000 0.5000 0.5000
0.5000 0.0000 0.5000
0.5000 0.5000 0.0000
0.0000 0.0000 0.5000
0.0000 0.5000 0.0000
0.5000 0.0000 0.0000
0.5000 0.5000 0.5000



(11)
Sr2YTe (PBE, relaxed); uncorrected formation energy = -0.54 eV/atom; crystal system = orthorhombic
1.0
4.7999 0.0000 0.0000
0.0000 4.8312 0.0000
0.0000 0.0000 13.6177
Sr Y Te
4 2 2
direct
0.0000 0.0000 0.0000
0.0000 0.5000 0.5000
0.5000 0.0000 0.3103
0.5000 0.5000 0.8103
0.5000 0.0000 0.5929
0.5000 0.5000 0.0929
0.0000 0.0000 0.7313
0.0000 0.5000 0.2313



(12)
Pm2PrSc2 (PBE, relaxed); polymorph energy (0 for the lowest one) = 0.0 meV per atom; formation energy from the elements = 0.060 eV per atom; crystal system = monoclinic
1.0
7.7267 -3.0753 0.0000
7.7267 3.0753 0.0000
-1.6126 0.0000 6.4490
Pm Pr Sc
4 2 4
direct
0.1156 0.2920 0.1640
0.2920 0.1156 0.6640
0.7080 0.8844 0.3360
0.8844 0.7080 0.8360
0.0902 0.9098 0.2500
0.9098 0.0902 0.7500
0.3296 0.4796 0.5547
0.4796 0.3296 0.0547
0.5204 0.6704 0.9453
0.6704 0.5204 0.4453



(13)
CaInHg (PBE, relaxed); formation energy from the elements = -0.260 eV per atom; crystal system = trigonal
1.0
3.8370 0.0000 0.0000
-1.9185 3.3229 0.0000
0.0000 0.0000 6.8574
Ca In Hg
1 1 1
direct
0.0000 0.0000 0.0000
0.6667 0.3333 0.6352
0.3333 0.6667 0.3228



(14)
PuPb2S4 (PBE, relaxed); uncorrected formation energy = -0.81 eV/atom; crystal system = orthorhombic
1.0
1.9419 -7.0533 0.0000
1.9419 7.0533 0.0000
0.0000 0.0000 13.2790
Pu Pb S
2 4 8
direct
0.1183 0.8817 0.7500
0.8817 0.1183 0.2500
0.3701 0.6299 0.5683
0.3701 0.6299 0.9317
0.6299 0.3701 0.0683
0.6299 0.3701 0.4317
0.0000 0.0000 0.0000
0.0000 0.0000 0.5000
0.2910 0.7090 0.1309
0.2910 0.7090 0.3691
0.4862 0.5138 0.7500
0.5138 0.4862 0.2500
0.7090 0.2910 0.6309
0.7090 0.2910 0.8691



(15)
LaEuHoZn (PBE, relaxed); formation energy from the elements = 0.061 eV per atom; crystal system = cubic
1.0
7.7650 0.0000 0.0000
0.0000 7.7650 0.0000
0.0000 0.0000 7.7650
La Eu Ho Zn
4 4 4 4
direct
0.0000 0.0000 0.0000
0.0000 0.5000 0.5000
0.5000 0.0000 0.5000
0.5000 0.5000 0.0000
0.2500 0.2500 0.7500
0.2500 0.7500 0.2500
0.7500 0.2500 0.2500
0.7500 0.7500 0.7500
0.0000 0.0000 0.5000
0.0000 0.5000 0.0000
0.5000 0.0000 0.0000
0.5000 0.5000 0.5000
0.2500 0.2500 0.2500
0.2500 0.7500 0.7500
0.7500 0.2500 0.7500
0.7500 0.7500 0.2500



(16)
SrAl3F (PBE, relaxed); uncorrected formation energy = -0.41 eV/atom; polymorph energy (0 for the lowest one) = 0.0 meV per atom; crystal system = cubic
1.0
4.7764 0.0000 0.0000
0.0000 4.7764 0.0000
0.0000 0.0000 4.7764
Sr Al F
1 3 1
direct
0.0000 0.0000 0.0000
0.0000 0.5000 0.5000
0.5000 0.0000 0.5000
0.5000 0.5000 0.0000
0.5000 0.5000 0.5000



(17)
ZrReTePb2 (PBE, relaxed); uncorrected formation energy = 1.54 eV/atom; crystal system = tetragonal
1.0
5.7494 0.0000 0.0000
0.0000 5.7494 0.0000
0.0000 0.0000 4.8219
Zr Re Te Pb
1 1 1 2
direct
0.0000 0.0000 0.0000
0.5000 0.5000 0.0000
0.5000 0.5000 0.5000
0.0000 0.5000 0.5000
0.5000 0.0000 0.5000



(18)
Mn2SbAs (PBE, relaxed); uncorrected formation energy = 0.02 eV/atom; crystal system = monoclinic
1.0
6.5226 0.0000 0.0000
0.0000 3.7834 0.0000
-2.1942 0.0000 6.2300
Mn Sb As
4 2 2
direct
0.2385 0.0000 0.2167
0.2615 0.5000 0.7833
0.7385 0.5000 0.2167
0.7615 0.0000 0.7833
0.0000 0.0000 0.5000
0.5000 0.5000 0.5000
0.0000 0.5000 0.0000
0.5000 0.0000 0.0000



(19)
K3Pa2HgTe6 (PBE, relaxed); uncorrected formation energy = -0.86 eV/atom; crystal system = monoclinic
1.0
10.3007 -2.2736 0.0000
10.3007 2.2736 0.0000
-1.2285 0.0000 9.9285
K Pa Hg Te
3 2 1 6
direct
0.0000 0.0000 0.0000
0.3694 0.3694 0.6230
0.6306 0.6306 0.3770
0.3235 0.3235 0.1569
0.6765 0.6765 0.8431
0.0000 0.0000 0.5000
0.1725 0.1725 0.0609
0.1948 0.1948 0.6477
0.4621 0.4621 0.2340
0.5379 0.5379 0.7660
0.8052 0.8052 0.3523
0.8275 0.8275 0.9391



(20)
La4PmPr2Er (PBE, relaxed); formation energy from the elements = 0.013 eV per atom; crystal system = monoclinic
1.0
5.2321 0.0000 0.0000
0.0000 5.2644 0.0000
-0.0094 0.0000 10.3368
La Pm Pr Er
4 1 2 1
direct
0.0001 0.0000 0.2479
0.9999 0.0000 0.7521
0.4992 0.5000 0.7513
0.5008 0.5000 0.2487
0.0000 0.5000 0.5000
0.0000 0.5000 0.0000
0.5000 0.0000 0.5000
0.5000 0.0000 0.0000



We obtain V values of 23.10 31.37 14.26 23.18 22.80 59.74 13.56 43.91 32.34 40.38 39.47 30.65 29.14 25.98 29.26 21.79 31.88 19.22 38.75 35.59 Å³ per atom for the records listed above, in that order.
We obtain calculated density values of 9.2 5.5 16.0 4.1 6.6 2.5 8.9 1.8 4.8 2.8 4.1 5.6 6.8 7.2 7.4 2.9 8.5 6.6 5.5 6.7 g/cm³ for the records listed above, in that order.